{
  "formula": "ZnNiBr2",
  "functional": "PBE",
  "state": "optimized geometry",
  "cell": [[-4.608, 1.929, 1.170], [-2.060, -4.694, -0.211], [-2.561, -1.819, 3.998]],
  "species": ["Br", "Br", "Zn", "Ni"],
  "fractional_positions": [[0.500, 0.500, 0.000], [0.000, 0.000, 0.000], [0.000, 0.500, 0.500], [0.500, 0.000, 0.500]],
  "space_group": "No. 12",
  "final_energy_ev_per_atom": -2.489,
  "de_polymorph_ev_per_fu": 1.535,
  "dos_at_fermi_per_ev_cell": 3.94,
  "crystal_system": "monoclinic"
}



{
  "formula": "AcPm6Sm2Er",
  "functional": "PBE",
  "state": "optimized geometry",
  "cell": [[-4.170, -3.944, -7.871], [7.376, 2.602, -4.633], [0.296, -7.947, 4.405]],
  "species": ["Pm", "Pm", "Pm", "Pm", "Pm", "Pm", "Pm", "Pm", "Pm", "Pm", "Pm", "Pm", "Ac", "Ac", "Sm", "Sm", "Sm", "Sm", "Er", "Er"],
  "fractional_positions": [[0.688, 0.013, 0.562], [0.188, 0.562, 0.013], [0.883, 0.288, 0.504], [0.383, 0.504, 0.288], [0.117, 0.712, 0.496], [0.555, 0.752, 0.131], [0.055, 0.131, 0.752], [0.812, 0.438, 0.987], [0.945, 0.869, 0.248], [0.617, 0.496, 0.712], [0.312, 0.987, 0.438], [0.445, 0.248, 0.869], [0.250, 0.976, 0.024], [0.750, 0.024, 0.976], [0.954, 0.683, 0.798], [0.046, 0.317, 0.202], [0.454, 0.798, 0.683], [0.546, 0.202, 0.317], [0.250, 0.412, 0.588], [0.750, 0.588, 0.412]],
  "e_form_kj_per_mol_atoms": 11.5,
  "space_group": "No. 15",
  "final_energy_ev_per_atom": -4.542,
  "dos_at_fermi_per_ev_cell": 28.18,
  "crystal_system": "monoclinic"
}



{
  "formula": "Tc2NiRu",
  "functional": "PBE",
  "state": "optimized geometry",
  "cell": [[4.613, -0.002, 0.001], [3.835, 2.564, 0.001], [0.717, 0.217, 4.603]],
  "species": ["Ni", "Ru", "Tc", "Tc"],
  "fractional_positions": [[0.499, 0.499, 0.505], [0.251, 0.251, 0.250], [0.752, 0.752, 0.736], [0.998, 0.998, 0.008]],
  "e_form_kj_per_mol_atoms": 7.6,
  "space_group": "No. 8",
  "final_energy_ev_per_atom": -8.869,
  "de_polymorph_ev_per_fu": 0.509,
  "dos_at_fermi_per_ev_cell": 4.72,
  "crystal_system": "monoclinic"
}



{
  "formula": "Fe3Pd4Au",
  "functional": "PBE",
  "state": "optimized geometry",
  "cell": [[4.718, 0.000, 0.000], [0.000, 5.551, 0.000], [0.000, 0.000, 8.963]],
  "species": ["Pd", "Pd", "Pd", "Pd", "Pd", "Pd", "Pd", "Pd", "Au", "Au", "Fe", "Fe", "Fe", "Fe", "Fe", "Fe"],
  "fractional_positions": [[0.152, 0.244, 0.750], [0.500, 0.757, 0.500], [0.500, 0.757, 0.000], [0.152, 0.756, 0.750], [0.848, 0.244, 0.250], [0.500, 0.243, 0.000], [0.500, 0.243, 0.500], [0.848, 0.756, 0.250], [0.000, 0.500, 0.000], [0.000, 0.500, 0.500], [0.661, 0.000, 0.750], [0.351, 0.500, 0.250], [0.000, 0.000, 0.000], [0.339, 0.000, 0.250], [0.000, 0.000, 0.500], [0.649, 0.500, 0.750]],
  "e_form_kj_per_mol_atoms": -4.0,
  "space_group": "No. 51",
  "final_energy_ev_per_atom": -6.221,
  "dos_at_fermi_per_ev_cell": 10.25,
  "crystal_system": "orthorhombic"
}



{
  "formula": "PaGeMo",
  "functional": "PBE",
  "state": "optimized geometry",
  "cell": [[-3.019, 0.911, 0.926], [-0.653, -3.090, 0.910], [3.671, 2.156, 4.017]],
  "species": ["Pa", "Mo", "Ge"],
  "fractional_positions": [[0.325, 0.325, 0.650], [0.645, 0.645, 0.291], [0.030, 0.030, 0.059]],
  "e_form_kj_per_mol_atoms": -13.4,
  "space_group": "No. 107",
  "final_energy_ev_per_atom": -8.454,
  "dos_at_fermi_per_ev_cell": 3.69,
  "crystal_system": "tetragonal"
}



{
  "formula": "AlSb3",
  "functional": "PBE",
  "state": "optimized geometry",
  "cell": [[6.537, 0.003, -0.026], [3.709, 5.384, 0.026], [-4.847, -3.219, 2.981]],
  "species": ["Sb", "Sb", "Sb", "Al"],
  "fractional_positions": [[0.000, 0.500, 0.500], [0.311, 0.311, 0.000], [0.689, 0.689, 0.000], [0.500, 0.000, 0.500]],
  "space_group": "No. 71",
  "final_energy_ev_per_atom": -3.873,
  "de_polymorph_ev_per_fu": 0.407,
  "dos_at_fermi_per_ev_cell": 1.94,
  "crystal_system": "orthorhombic"
}



{
  "formula": "TiAgW2",
  "functional": "PBE",
  "state": "optimized geometry",
  "cell": [[0.065, -2.985, 3.405], [1.414, 1.281, 4.108], [-2.968, 0.379, 3.400]],
  "species": ["Ti", "Ag", "W", "W"],
  "fractional_positions": [[0.000, 0.000, 0.000], [0.500, 0.500, 0.500], [0.250, 0.250, 0.250], [0.750, 0.750, 0.750]],
  "e_form_kj_per_mol_atoms": 68.1,
  "space_group": "No. 225",
  "final_energy_ev_per_atom": -8.458,
  "de_polymorph_ev_per_fu": 0.000,
  "dos_at_fermi_per_ev_cell": 6.91,
  "crystal_system": "cubic"
}



{
  "formula": "CePrTh2",
  "functional": "PBE",
  "state": "optimized geometry",
  "cell": [[-2.464, 2.075, 1.536], [-2.472, -1.444, 2.131], [5.371, 1.746, 10.402]],
  "species": ["Ce", "Th", "Th", "Pr"],
  "fractional_positions": [[0.668, 0.668, 0.997], [0.080, 0.080, 0.759], [0.254, 0.254, 0.239], [0.498, 0.498, 0.505]],
  "e_form_kj_per_mol_atoms": 5.8,
  "space_group": "No. 160",
  "final_energy_ev_per_atom": -6.328,
  "de_polymorph_ev_per_fu": 0.023,
  "dos_at_fermi_per_ev_cell": 6.04,
  "crystal_system": "trigonal"
}



{
  "formula": "Ca3Ac2Ge4",
  "functional": "PBE",
  "state": "optimized geometry",
  "cell": [[7.805, 0.140, 0.000], [-2.432, 7.871, 0.000], [0.000, 0.000, 8.221]],
  "species": ["Ca", "Ca", "Ca", "Ca", "Ca", "Ca", "Ac", "Ac", "Ac", "Ac", "Ge", "Ge", "Ge", "Ge", "Ge", "Ge", "Ge", "Ge"],
  "fractional_positions": [[0.500, 0.500, 0.000], [0.749, 0.755, 0.323], [0.251, 0.245, 0.677], [0.751, 0.245, 0.823], [0.249, 0.755, 0.177], [0.000, 0.500, 0.500], [0.582, 0.198, 0.317], [0.918, 0.802, 0.817], [0.418, 0.802, 0.683], [0.082, 0.198, 0.183], [0.122, 0.506, 0.886], [0.374, 0.077, 0.968], [0.626, 0.923, 0.032], [0.622, 0.506, 0.614], [0.874, 0.077, 0.532], [0.126, 0.923, 0.468], [0.878, 0.494, 0.114], [0.378, 0.494, 0.386]],
  "e_form_kj_per_mol_atoms": -71.9,
  "space_group": "No. 14",
  "final_energy_ev_per_atom": -4.377,
  "dos_at_fermi_per_ev_cell": 0.53,
  "crystal_system": "monoclinic"
}



{
  "formula": "InFePb2",
  "functional": "PBE",
  "state": "optimized geometry",
  "cell": [[3.327, 0.185, 0.000], [-0.299, 3.319, 0.000], [0.000, 0.000, 9.009]],
  "species": ["Pb", "Pb", "In", "Fe"],
  "fractional_positions": [[0.000, 0.000, 0.052], [0.000, 0.000, 0.448], [0.500, 0.500, 0.750], [0.500, 0.500, 0.250]],
  "e_form_kj_per_mol_atoms": 32.8,
  "space_group": "No. 65",
  "final_energy_ev_per_atom": -4.314,
  "de_polymorph_ev_per_fu": 0.262,
  "dos_at_fermi_per_ev_cell": 4.63,
  "crystal_system": "orthorhombic"
}



{
  "formula": "Y3Rh2",
  "functional": "PBE",
  "state": "optimized geometry",
  "cell": [[-0.980, 2.481, 3.347], [-0.787, -5.790, 1.324], [9.552, -0.562, 3.215]],
  "species": ["Y", "Y", "Y", "Y", "Y", "Y", "Rh", "Rh", "Rh", "Rh"],
  "fractional_positions": [[0.147, 0.794, 0.067], [0.853, 0.206, 0.933], [0.592, 0.683, 0.750], [0.853, 0.206, 0.567], [0.408, 0.317, 0.250], [0.147, 0.794, 0.433], [0.500, 0.500, 0.500], [0.500, 0.500, 0.000], [0.681, 0.862, 0.250], [0.319, 0.138, 0.750]],
  "e_form_kj_per_mol_atoms": -64.7,
  "space_group": "No. 63",
  "final_energy_ev_per_atom": -7.490,
  "de_polymorph_ev_per_fu": 0.358,
  "dos_at_fermi_per_ev_cell": 6.38,
  "crystal_system": "orthorhombic"
}



{
  "formula": "SrCd2Cu",
  "functional": "PBE",
  "state": "optimized geometry",
  "cell": [[-3.522, 1.144, 2.614], [-1.572, -4.244, -0.260], [2.621, -1.220, 4.065]],
  "species": ["Cd", "Cd", "Sr", "Cu"],
  "fractional_positions": [[0.500, 0.500, 0.000], [0.000, 0.000, 0.000], [0.000, 0.500, 0.500], [0.500, 0.000, 0.500]],
  "e_form_kj_per_mol_atoms": -0.1,
  "space_group": "No. 123",
  "final_energy_ev_per_atom": -1.903,
  "dos_at_fermi_per_ev_cell": 2.17,
  "crystal_system": "tetragonal"
}